(1)
The following is a DFT calculation (SCAN) of a PBEsol-optimized structure of Na3LuBr6.

abc: 7.0630 7.6274 12.5759
angles: 90.00 123.37 90.00
Space group P2_1/c (No. 14)
Inequivalent atoms, fractional coordinates:
Na 0.0000 0.0000 0.0000 x2
Na 0.2050 0.0944 0.7428 x4
Lu 0.5000 0.0000 0.5000 x2
Br 0.1188 0.1780 0.4322 x4
Br 0.2582 0.6967 0.4229 x4
Br 0.4079 0.0563 0.2619 x4

The calculation puts the raw formation energy at -1.869 eV/atom. The calculation puts the density of states at the Fermi level at 0.000 states/eV/atom. The calculation puts the raw total energy at -0.7476 Ha/atom.


(2)
The following is a DFT calculation (SCAN) of a PBEsol-optimized structure of Mg5Br.

abc: 8.4149 8.4149 8.4149
angles: 90.00 90.00 90.00
Space group F-43m (No. 216)
Inequivalent atoms, fractional coordinates:
Mg 0.0000 0.0000 0.0000 x4
Mg 0.1265 0.1265 0.3735 x16
Br 0.2500 0.2500 0.7500 x4

The calculation puts the raw formation energy at 0.069 eV/atom. The calculation puts the density of states at the Fermi level at 0.632 states/eV/atom. The calculation puts the raw total energy at -0.2690 Ha/atom.


(3)
The following is a DFT calculation (SCAN) of a PBEsol-optimized structure of MgBr2.

abc: 3.8161 3.8161 6.5779
angles: 90.00 90.00 120.00
Space group P-3m1 (No. 164)
Inequivalent atoms, fractional coordinates:
Mg 0.0000 0.0000 0.0000 x1
Br 0.3333 0.6667 0.7709 x2

The calculation puts the raw formation energy at -1.670 eV/atom. The calculation puts the density of states at the Fermi level at 0.000 states/eV/atom. The calculation puts the raw total energy at -0.5990 Ha/atom.


(4)
The following is a DFT calculation (SCAN) of a PBEsol-optimized structure of MgBr2.

abc: 6.1259 6.4878 3.9000
angles: 90.00 90.00 90.00
Space group Pnnm (No. 58)
Inequivalent atoms, fractional coordinates:
Mg 0.0000 0.0000 0.0000 x2
Br 0.2339 0.1619 0.5000 x4

The calculation puts the raw formation energy at -1.619 eV/atom. The calculation puts the density of states at the Fermi level at 0.000 states/eV/atom. The calculation puts the raw total energy at -0.5972 Ha/atom.


(5)
The following is a DFT calculation (SCAN) of a PBEsol-optimized structure of MgBr3.

abc: 4.6297 4.6297 4.6297
angles: 90.00 90.00 90.00
Space group Pm-3m (No. 221)
Inequivalent atoms, fractional coordinates:
Mg 0.0000 0.0000 0.0000 x1
Br 0.0000 0.5000 0.5000 x3

The calculation puts the raw formation energy at -0.274 eV/atom. The calculation puts the density of states at the Fermi level at 0.745 states/eV/atom. The calculation puts the raw total energy at -0.5921 Ha/atom.


(6)
The following is a DFT calculation (SCAN) of a PBEsol-optimized structure of MgBr2.

abc: 8.8422 8.8422 8.8422
angles: 90.00 90.00 90.00
Space group Fd-3m (No. 227, origin choice 2)
Inequivalent atoms, fractional coordinates:
Mg 0.1250 0.1250 0.1250 x8
Br 0.0000 0.0000 0.5000 x16

The calculation puts the raw formation energy at 0.265 eV/atom. The calculation puts the density of states at the Fermi level at 0.670 states/eV/atom. The calculation puts the raw total energy at -0.5280 Ha/atom.


(7)
The following is a DFT calculation (SCAN) of a PBEsol-optimized structure of MgBr2.

abc: 3.7890 17.9252 5.4883
angles: 90.00 90.00 90.00
Space group Cmcm (No. 63)
Inequivalent atoms, fractional coordinates:
Mg 0.0000 0.1795 0.2500 x4
Br 0.0000 0.2079 0.7500 x4
Br 0.0000 0.4131 0.7500 x4

The calculation puts the raw formation energy at -1.587 eV/atom. The calculation puts the density of states at the Fermi level at 0.000 states/eV/atom. The calculation puts the raw total energy at -0.5960 Ha/atom.


(8)
The following is a DFT calculation (SCAN) of a PBEsol-optimized structure of Mg3Br5.

abc: 8.6322 12.4563 3.8362
angles: 90.00 90.00 90.00
Space group Cmmm (No. 65)
Inequivalent atoms, fractional coordinates:
Mg 0.0000 0.0000 0.0000 x2
Mg 0.0000 0.3335 0.5000 x4
Br 0.0000 0.5000 0.0000 x2
Br 0.1924 0.0000 0.5000 x4
Br 0.2500 0.2500 0.0000 x4

The calculation puts the raw formation energy at -1.082 eV/atom. The calculation puts the density of states at the Fermi level at 0.185 states/eV/atom. The calculation puts the raw total energy at -0.5553 Ha/atom.


(9)
The following is a DFT calculation (SCAN) of a PBEsol-optimized structure of MgMn3Br.

abc: 4.9979 4.9979 4.9979
angles: 90.00 90.00 90.00
Space group Pm-3m (No. 221)
Inequivalent atoms, fractional coordinates:
Mg 0.0000 0.0000 0.0000 x1
Mn 0.0000 0.0000 0.5000 x3
Br 0.5000 0.5000 0.5000 x1

The calculation puts the raw formation energy at 0.760 eV/atom. The calculation puts the density of states at the Fermi level at 0.232 states/eV/atom. The calculation puts the raw total energy at -0.5542 Ha/atom.


(10)
The following is a DFT calculation (SCAN) of a PBEsol-optimized structure of MgMn2PdBr.

abc: 4.9001 4.9001 4.7513
angles: 90.00 90.00 90.00
Space group P4/mmm (No. 123)
Inequivalent atoms, fractional coordinates:
Mg 0.0000 0.0000 0.0000 x1
Mn 0.0000 0.5000 0.0000 x2
Pd 0.5000 0.5000 0.5000 x1
Br 0.0000 0.0000 0.5000 x1

The calculation puts the raw formation energy at 0.943 eV/atom. The calculation puts the density of states at the Fermi level at 0.623 states/eV/atom. The calculation puts the raw total energy at -0.6541 Ha/atom.


(11)
The following is a DFT calculation (SCAN) of a PBEsol-optimized structure of MgMo3Br.

abc: 4.5778 4.5778 4.5778
angles: 90.00 90.00 90.00
Space group Pm-3m (No. 221)
Inequivalent atoms, fractional coordinates:
Mg 0.0000 0.0000 0.0000 x1
Mo 0.0000 0.5000 0.5000 x3
Br 0.5000 0.5000 0.5000 x1

The calculation puts the raw formation energy at 1.466 eV/atom. The calculation puts the density of states at the Fermi level at 0.595 states/eV/atom. The calculation puts the raw total energy at -0.8949 Ha/atom.


(12)
The following is a DFT calculation (SCAN) of a PBEsol-optimized structure of Mg2MoBr.

abc: 6.7846 6.7846 6.7846
angles: 90.00 90.00 90.00
Space group F-43m (No. 216)
Inequivalent atoms, fractional coordinates:
Mg 0.0000 0.0000 0.0000 x4
Mg 0.2500 0.2500 0.2500 x4
Mo 0.0000 0.0000 0.5000 x4
Br 0.2500 0.2500 0.7500 x4

The energy above the most stable polymorph in this dataset is 466 meV/atom. The calculation puts the raw formation energy at 0.724 eV/atom. The calculation puts the density of states at the Fermi level at 0.496 states/eV/atom. The calculation puts the raw total energy at -0.5641 Ha/atom.


(13)
The following is a DFT calculation (SCAN) of a PBEsol-optimized structure of Mg2MoBr.

abc: 10.7226 3.0415 5.1298
angles: 90.00 106.89 90.00
Space group Cm (No. 8)
Inequivalent atoms, fractional coordinates:
Mg 0.0000 0.0000 0.0000 x2
Mg 0.2008 0.0000 0.6354 x2
Mo 0.4597 0.0000 0.5053 x2
Br 0.2875 0.5000 0.2072 x2

The energy above the most stable polymorph in this dataset is 0 meV/atom. The calculation puts the raw formation energy at 0.258 eV/atom. The calculation puts the density of states at the Fermi level at 0.454 states/eV/atom. The calculation puts the raw total energy at -0.5812 Ha/atom.


(14)
The following is a DFT calculation (SCAN) of a PBEsol-optimized structure of Mg2MoBr.

abc: 7.0174 7.0174 7.0174
angles: 90.00 90.00 90.00
Space group Fm-3m (No. 225)
Inequivalent atoms, fractional coordinates:
Mg 0.2500 0.2500 0.2500 x8
Mo 0.0000 0.0000 0.0000 x4
Br 0.0000 0.0000 0.5000 x4

The energy above the most stable polymorph in this dataset is 537 meV/atom. The calculation puts the raw formation energy at 0.795 eV/atom. The calculation puts the density of states at the Fermi level at 0.482 states/eV/atom. The calculation puts the raw total energy at -0.5615 Ha/atom.


(15)
The following is a DFT calculation (SCAN) of a PBEsol-optimized structure of MgMoBrO2.

abc: 4.1393 4.1393 4.9298
angles: 90.00 90.00 90.00
Space group P4/mmm (No. 123)
Inequivalent atoms, fractional coordinates:
Mg 0.0000 0.0000 0.0000 x1
Mo 0.5000 0.5000 0.0000 x1
Br 0.0000 0.0000 0.5000 x1
O 0.0000 0.5000 0.5000 x2

The calculation puts the raw formation energy at 1.085 eV/atom. The calculation puts the density of states at the Fermi level at 0.366 states/eV/atom. The calculation puts the raw total energy at -0.4877 Ha/atom.


(16)
The following is a DFT calculation (SCAN) of a PBEsol-optimized structure of MgSBrN2.

abc: 4.0755 4.0755 5.3418
angles: 90.00 90.00 90.00
Space group P4/mmm (No. 123)
Inequivalent atoms, fractional coordinates:
Mg 0.0000 0.0000 0.0000 x1
S 0.0000 0.0000 0.5000 x1
Br 0.5000 0.5000 0.5000 x1
N 0.0000 0.5000 0.0000 x2

The calculation puts the raw formation energy at 1.205 eV/atom. The calculation puts the density of states at the Fermi level at 0.285 states/eV/atom. The calculation puts the raw total energy at -0.3426 Ha/atom.


(17)
The following is a DFT calculation (SCAN) of a PBEsol-optimized structure of MgSeBr2N.

abc: 4.4101 4.4101 4.9457
angles: 90.00 90.00 90.00
Space group P4/mmm (No. 123)
Inequivalent atoms, fractional coordinates:
Mg 0.0000 0.0000 0.0000 x1
Se 0.5000 0.5000 0.0000 x1
Br 0.0000 0.5000 0.5000 x2
N 0.5000 0.5000 0.5000 x1

The energy above the most stable polymorph in this dataset is 84 meV/atom. The calculation puts the raw formation energy at 0.536 eV/atom. The calculation puts the density of states at the Fermi level at 0.440 states/eV/atom. The calculation puts the raw total energy at -0.5188 Ha/atom.


(18)
The following is a DFT calculation (SCAN) of a PBEsol-optimized structure of MgSeBr2N.

abc: 5.2259 5.2259 5.2270
angles: 90.00 90.00 90.00
Space group P4/mmm (No. 123)
Inequivalent atoms, fractional coordinates:
Mg 0.0000 0.0000 0.0000 x1
Se 0.0000 0.0000 0.5000 x1
Br 0.0000 0.5000 0.0000 x2
N 0.5000 0.5000 0.5000 x1

The energy above the most stable polymorph in this dataset is 0 meV/atom. The calculation puts the raw formation energy at 0.452 eV/atom. The calculation puts the density of states at the Fermi level at 0.216 states/eV/atom. The calculation puts the raw total energy at -0.5219 Ha/atom.


(19)
The following is a DFT calculation (SCAN) of a PBEsol-optimized structure of MgNb2NiBr.

abc: 4.8295 4.8295 4.6214
angles: 90.00 90.00 90.00
Space group P4/mmm (No. 123)
Inequivalent atoms, fractional coordinates:
Mg 0.0000 0.0000 0.0000 x1
Nb 0.0000 0.5000 0.0000 x2
Ni 0.5000 0.5000 0.5000 x1
Br 0.0000 0.0000 0.5000 x1

The calculation puts the raw formation energy at 2.082 eV/atom. The calculation puts the density of states at the Fermi level at 1.373 states/eV/atom. The calculation puts the raw total energy at -0.7089 Ha/atom.


(20)
The following is a DFT calculation (SCAN) of a PBEsol-optimized structure of MgNi2Br.

abc: 3.0073 3.0073 23.0668
angles: 90.00 90.00 120.00
Space group R-3m (No. 166, hexagonal axes)
Inequivalent atoms, fractional coordinates:
Mg 0.0000 0.0000 0.0000 x3
Ni 0.0000 0.0000 0.2457 x6
Br 0.0000 0.0000 0.5000 x3

The energy above the most stable polymorph in this dataset is 27 meV/atom. The calculation puts the raw formation energy at 0.401 eV/atom. The calculation puts the density of states at the Fermi level at 0.879 states/eV/atom. The calculation puts the raw total energy at -0.5069 Ha/atom.